Cr2Cu: optimized geometry, PBE-GGA.

Results
Density of states at the Fermi level ... 9.228 states/eV/cell
Formation energy from the elements ... 0.262 eV/atom
Crystal system ... orthorhombic

a = 3.9994 Å, b = 9.1216 Å, c = 3.8826 Å
α = 90.00°, β = 90.00°, γ = 90.00°
Space group Cmcm (No. 63)
Inequivalent atoms, fractional coordinates:
Cr  0.0000  0.0985  0.2500 [4 per cell]
Cr  0.0000  0.2474  0.7500 [4 per cell]
Cu  0.0000  0.4222  0.2500 [4 per cell]